(1)
Entry from Alexandria via LeMat-Bulk: an optimized crystal structure of Mg2Cu2Ag (PBE-GGA).

abc: 7.461 7.461 2.977
angles: 90.00 90.00 90.00
Space group P4/mbm (No. 127)
Symmetry-distinct sites (fractional):
Mg 0.149 0.351 0.000 x4
Cu 0.145 0.645 0.500 x4
Ag 0.000 0.000 0.000 x2

Values from the calculation:
Energy relative to the elements in meV per atom: 42.0
Energy above the lowest structure with this stoichiometry in kJ per mole of atoms: 10.9
Size of the total moment in μB/f.u.: 0.0



(2)
Entry from Alexandria via LeMat-Bulk: an optimized crystal structure of Mg2CuAg (PBE-GGA).

abc: 2.9809 2.9809 27.4760
angles: 90.00 90.00 120.00
Space group R-3m (No. 166, hexagonal axes)
Symmetry-distinct sites (fractional):
Mg 0.0000 0.0000 0.2461 x6
Cu 0.0000 0.0000 0.5000 x3
Ag 0.0000 0.0000 0.0000 x3

Values from the calculation:
Energy relative to the elements in meV per atom: -24.4
Size of the total moment in μB/f.u.: 0.0



(3)
Entry from Alexandria via LeMat-Bulk: an optimized crystal structure of MgCuAg2 (PBE-GGA).

abc: 4.101 4.101 7.897
angles: 90.00 90.00 90.00
Space group I4/mmm (No. 139)
Symmetry-distinct sites (fractional):
Mg 0.000 0.000 0.000 x2
Cu 0.000 0.000 0.500 x2
Ag 0.000 0.500 0.250 x4

Values from the calculation:
Energy relative to the elements in meV per atom: -81.5
Size of the total moment in μB/f.u.: 0.0



(4)
Entry from Alexandria via LeMat-Bulk: an optimized crystal structure of Mg2CuAg (PBE-GGA).

abc: 3.302 3.302 6.522
angles: 90.00 90.00 90.00
Space group P4mm (No. 99)
Symmetry-distinct sites (fractional):
Mg 0.000 0.000 0.000 x1
Mg 0.500 0.500 0.318 x1
Cu 0.500 0.500 0.783 x1
Ag 0.000 0.000 0.561 x1

Values from the calculation:
Energy relative to the elements in meV per atom: -77.2
Size of the total moment in μB/f.u.: 0.0



- Which of these has the highest energy relative to the elements?
  Mg2Cu2Ag



- energy relative to the elements of number 1 (Mg2Cu2Ag)?
  42.0 meV per atom